The following is a GGA-PBE calculation of a relaxed Ac6GeO12 crystal, from Alexandria.

Structure (POSCAR):
```
Ac6GeO12
1.0
5.3514 3.0896 3.3900
-5.3514 3.0896 3.3900
0.0000 -6.1793 3.3900
Ac Ge O
6 1 12
Cartesian
-2.8903 -2.6138 5.2041
-3.7088 1.1962 4.9659
0.8185 -3.8100 4.9659
-0.8185 3.8100 5.2041
3.7088 -1.1962 5.2041
2.8903 2.6138 4.9659
0.0000 0.0000 5.0850
-1.4477 -4.4233 4.3334
-4.5545 -0.9579 5.8365
-1.6432 -0.3733 4.0470
-3.1068 3.4654 4.3334
1.1449 -1.2364 4.0470
-0.4983 -1.6097 6.1229
0.4983 1.6097 4.0470
-1.1449 1.2364 6.1229
3.1068 -3.4653 5.8365
1.6432 0.3733 6.1229
4.5545 0.9579 4.3334
1.4477 4.4233 5.8365
```

Summary:
formation energy from raw total energies: -2.833 eV/atom
symmetry: R-3 (148)